1.
Li5OsO6 PBEsol relaxed; E = -74.1 eV/cell; E_form (uncorrected) = -1988 kJ/mol of formula units; crystal system = monoclinic
1.0
-4.3088 0.8122 2.3536
0.6497 -0.4453 4.9501
0.6127 4.4507 -2.2178
Li O Os
5 6 1
direct
0.0000 0.8328 0.6656
0.5000 0.3210 0.6421
0.5000 0.6790 0.3579
0.0000 0.1672 0.3344
0.5000 0.0000 0.0000
0.7634 0.8894 0.3106
0.2366 0.1106 0.6894
0.7687 0.2698 0.0000
0.7634 0.5788 0.6894
0.2366 0.4212 0.3106
0.2313 0.7302 0.0000
0.0000 0.5000 0.0000


2.
K2LiMn PBEsol relaxed; E = -10.8 eV/cell; formation enthalpy at 0 K = 0.80 eV per atom; crystal system = orthorhombic
1.0
3.6666 0.0000 0.0000
0.0000 6.5387 0.0251
0.0000 -2.1887 6.1616
Li Mn K
1 1 2
direct
0.5000 0.0000 0.0000
0.5000 0.5000 0.5000
0.0000 0.5000 0.0000
0.0000 0.0000 0.5000